[1]
This record from Alexandria describes a relaxed structure of CsLiSm2Br8. The functional is PBE-GGA.

Cell: 7.357 7.310 8.992 Å, 89.99 89.95 80.30°
Positions (direct):
1 Li 0.000 0.000 0.000
2 Br 0.613 0.704 0.500
3 Sm 0.500 0.500 0.238
4 Br 0.840 0.259 0.202
5 Br 0.371 0.285 0.000
6 Br 0.387 0.296 0.500
7 Br 0.160 0.741 0.798
8 Sm 0.500 0.500 0.762
9 Br 0.159 0.739 0.202
10 Br 0.841 0.261 0.798
11 Br 0.629 0.715 0.000
12 Cs 0.000 0.000 0.500

## Properties
Space group: P-1
Size of the total moment, μB per cell: 0.00

---

[2]
This record from Alexandria describes a relaxed structure of Cs2Li2SmBr6. The functional is PBE-GGA.

Cell: 8.202 7.876 8.191 Å, 108.59 90.00 121.38°
Each line ends with the local moment (μB).
Positions (direct):
1 Li 0.068 0.136 0.272  0.00
2 Br 0.795 0.084 0.775  0.00
3 Br 0.289 0.084 0.775  0.00
4 Cs 0.702 0.403 0.175  0.01
5 Br 0.260 0.520 0.353  0.00
6 Li 0.932 0.864 0.728  0.00
7 Br 0.740 0.480 0.647  0.00
8 Cs 0.298 0.597 0.825  0.01
9 Br 0.205 0.916 0.225  0.00
10 Br 0.711 0.916 0.225  0.00
11 Sm 0.500 0.000 0.500  0.47

## Properties
Space group: C2/m
Size of the total moment, μB per cell: 0.99

---

[3]
This record from Alexandria describes a relaxed structure of Cs3Li2SnBr6. The functional is PBE-GGA.

Cell: 8.159 8.159 9.829 Å, 90.00 90.00 120.00°
Each line ends with the local moment (μB).
Positions (direct):
1 Br 0.167 0.833 0.280  0.01
2 Cs 0.333 0.667 0.622  0.00
3 Br 0.833 0.666 0.720  0.01
4 Cs 0.667 0.333 0.378  0.00
5 Br 0.666 0.833 0.280  0.01
6 Br 0.334 0.167 0.720  0.01
7 Br 0.167 0.334 0.280  0.01
8 Br 0.833 0.167 0.720  0.01
9 Cs 0.000 0.000 0.000  0.00
10 Sn 0.000 0.000 0.500  0.33
11 Li 0.333 0.667 0.229  0.01
12 Li 0.667 0.333 0.771  0.01

## Properties
Space group: P-3m1
Size of the total moment, μB per cell: 1.03

---

[4]
This record from Alexandria describes a relaxed structure of CsLiSnBr4. The functional is PBE-GGA.

Cell: 7.322 7.611 9.922 Å, 90.00 110.22 90.00°
Positions (direct):
1 Li 0.242 0.750 0.328
2 Cs 0.739 0.750 0.952
3 Br 0.008 0.005 0.297
4 Br 0.992 0.505 0.703
5 Br 0.008 0.495 0.297
6 Li 0.758 0.250 0.672
7 Cs 0.261 0.250 0.048
8 Br 0.992 0.995 0.703
9 Br 0.527 0.250 0.419
10 Br 0.426 0.750 0.163
11 Sn 0.215 0.250 0.520
12 Sn 0.785 0.750 0.480
13 Br 0.473 0.750 0.581
14 Br 0.574 0.250 0.837

## Properties
Space group: P2_1/m
Size of the total moment, μB per cell: 0.00

---

[5]
This record from Alexandria describes a relaxed structure of CsLiSn2Br6. The functional is PBE-GGA.

Cell: 7.725 7.721 8.603 Å, 63.26 63.27 59.96°
Positions (direct):
1 Br 0.907 0.578 0.230
2 Br 0.284 0.907 0.230
3 Br 0.303 0.733 0.774
4 Br 0.733 0.189 0.774
5 Cs 0.793 0.794 0.619
6 Sn 0.003 0.003 0.991
7 Li 0.342 0.342 0.974
8 Br 0.579 0.284 0.230
9 Br 0.190 0.303 0.773
10 Sn 0.527 0.527 0.420

## Properties
Space group: P1
Size of the total moment, μB per cell: 0.00

---

[6]
This record from Alexandria describes a relaxed structure of CsLiSnBr6. The functional is PBE-GGA.

Cell: 7.064 7.064 8.211 Å, 90.02 89.98 59.97°
Positions (direct):
1 Br 0.624 0.364 0.687
2 Br 0.011 0.624 0.687
3 Li 0.667 0.667 0.500
4 Br 0.011 0.364 0.313
5 Br 0.364 0.624 0.313
6 Sn 0.333 0.333 0.500
7 Br 0.624 0.011 0.313
8 Br 0.364 0.011 0.687
9 Cs 0.000 0.000 0.000

## Properties
Space group: P312
Size of the total moment, μB per cell: 0.00

---

[7]
This record from Alexandria describes a relaxed structure of Cs3LiSn2Br9. The functional is PBE-GGA.

Cell: 8.037 8.037 9.870 Å, 90.00 90.00 120.00°
Positions (direct):
1 Br 0.332 0.166 0.661
2 Sn 0.667 0.333 0.821
3 Br 0.500 0.500 0.000
4 Br 0.834 0.668 0.661
5 Li 0.000 0.000 0.500
6 Cs 0.000 0.000 0.000
7 Br 0.166 0.332 0.339
8 Br 0.500 0.000 0.000
9 Br 0.668 0.834 0.339
10 Sn 0.333 0.667 0.179
11 Br 0.834 0.166 0.661
12 Br 0.166 0.834 0.339
13 Cs 0.333 0.667 0.660
14 Br 0.000 0.500 0.000
15 Cs 0.667 0.333 0.340

## Properties
Space group: P-3m1
Size of the total moment, μB per cell: 0.00

---

[8]
This record from Alexandria describes a relaxed structure of Cs2Li3SnBr8. The functional is PBE-GGA.

Cell: 8.380 8.380 10.121 Å, 65.54 65.54 60.00°
Positions (direct):
1 Li 0.450 0.450 0.044
2 Br 0.214 0.688 0.883
3 Br 0.255 0.255 0.236
4 Li 0.055 0.450 0.044
5 Br 0.688 0.214 0.883
6 Li 0.450 0.055 0.044
7 Br 0.832 0.832 0.504
8 Br 0.744 0.744 0.199
9 Cs 0.476 0.476 0.572
10 Br 0.214 0.214 0.883
11 Cs 0.125 0.125 0.624
12 Br 0.312 0.744 0.199
13 Sn 0.931 0.931 0.207
14 Br 0.744 0.312 0.199

## Properties
Space group: R3m
Size of the total moment, μB per cell: 0.00

---

[9]
This record from Alexandria describes a relaxed structure of CsSr4Li3Br12. The functional is PBE-GGA.

Cell: 9.682 9.682 9.682 Å, 109.47 109.47 109.47°
Positions (direct):
1 Br 0.513 0.678 0.835
2 Sr 0.000 0.000 0.500
3 Br 0.487 0.322 0.165
4 Li 0.500 0.500 0.000
5 Br 0.165 0.843 0.678
6 Br 0.843 0.678 0.165
7 Br 0.678 0.835 0.513
8 Sr 0.000 0.500 0.000
9 Li 0.500 0.000 0.500
10 Cs 0.000 0.000 0.000
11 Br 0.835 0.513 0.678
12 Sr 0.500 0.500 0.500
13 Br 0.165 0.487 0.322
14 Br 0.835 0.157 0.322
15 Sr 0.500 0.000 0.000
16 Br 0.678 0.165 0.843
17 Br 0.157 0.322 0.835
18 Br 0.322 0.165 0.487
19 Li 0.000 0.500 0.500
20 Br 0.322 0.835 0.157

## Properties
Space group: Im-3
Size of the total moment, μB per cell: 0.00

---

[10]
This record from Alexandria describes a relaxed structure of CsSr2Li2Br7. The functional is PBE-GGA.

Cell: 5.995 6.052 12.517 Å, 103.99 103.85 90.00°
Positions (direct):
1 Cs 0.000 0.001 0.000
2 Sr 0.372 0.371 0.744
3 Br 0.131 0.623 0.262
4 Br 0.754 0.729 0.508
5 Sr 0.628 0.626 0.256
6 Br 0.630 0.127 0.260
7 Br 0.500 0.494 0.000
8 Li 0.251 0.790 0.501
9 Br 0.370 0.868 0.740
10 Br 0.869 0.361 0.738
11 Br 0.246 0.220 0.492
12 Li 0.749 0.289 0.499

## Properties
Space group: Imm2
Size of the total moment, μB per cell: 0.00

---

[11]
This record from Alexandria describes a relaxed structure of Cs2LiTaBr6. The functional is PBE-GGA.

Cell: 7.723 7.723 7.731 Å, 60.03 60.03 90.00°
Each line ends with the local moment (μB).
Positions (direct):
1 Ta 0.000 0.000 0.000  1.38
2 Br 0.758 0.758 0.484  0.01
3 Br 0.757 0.243 0.000  0.00
4 Br 0.242 0.242 0.516  0.01
5 Br 0.243 0.243 0.000  0.00
6 Cs 0.750 0.250 0.500  0.00
7 Br 0.243 0.757 0.000  0.00
8 Li 0.500 0.500 0.000  0.00
9 Cs 0.250 0.750 0.500  0.00
10 Br 0.757 0.757 0.000  0.00

## Properties
Space group: I4/mmm
Size of the total moment, μB per cell: 2.00

---

[12]
This record from Alexandria describes a relaxed structure of CsLiTaBr6. The functional is PBE-GGA.

Cell: 7.014 7.014 16.311 Å, 90.00 90.00 120.00°
Each line ends with the local moment (μB).
Positions (direct):
1 Br 0.981 0.620 0.342  0.00
2 Br 0.380 0.361 0.342  0.00
3 Br 0.380 0.019 0.158  0.00
4 Ta 0.667 0.333 0.250  0.74
5 Br 0.361 0.981 0.658  0.00
6 Cs 0.000 0.000 0.000  0.00
7 Br 0.019 0.639 0.842  0.00
8 Ta 0.333 0.667 0.750  0.74
9 Cs 0.000 0.000 0.500  0.00
10 Li 0.667 0.333 0.750  0.00
11 Br 0.620 0.981 0.842  0.00
12 Li 0.333 0.667 0.250  0.00
13 Br 0.361 0.380 0.842  0.00
14 Br 0.639 0.620 0.158  0.00
15 Br 0.019 0.380 0.658  0.00
16 Br 0.639 0.019 0.342  0.00
17 Br 0.620 0.639 0.658  0.00
18 Br 0.981 0.361 0.158  0.00

## Properties
Space group: P-31c
Size of the total moment, μB per cell: 2.00

---

[13]
This record from Alexandria describes a relaxed structure of CsLiTbBr5. The functional is PBE-GGA.

Cell: 8.136 8.136 10.780 Å, 103.78 103.78 106.71°
Positions (direct):
1 Cs 0.341 0.659 0.250
2 Cs 0.659 0.341 0.750
3 Br 0.295 0.896 0.600
4 Br 0.705 0.104 0.400
5 Li 0.693 0.307 0.250
6 Br 0.934 0.066 0.750
7 Br 0.230 0.367 0.582
8 Br 0.896 0.295 0.100
9 Br 0.066 0.934 0.250
10 Tb 0.000 0.000 0.000
11 Br 0.104 0.705 0.900
12 Br 0.770 0.633 0.418
13 Tb 0.000 0.000 0.500
14 Br 0.367 0.230 0.082
15 Li 0.307 0.693 0.750
16 Br 0.633 0.770 0.918

## Properties
Space group: C2/c
Size of the total moment, μB per cell: 0.00

---

[14]
This record from Alexandria describes a relaxed structure of CsLi2TbBr6. The functional is PBE-GGA.

Cell: 7.865 7.975 7.991 Å, 62.65 74.74 56.20°
Positions (direct):
1 Br 0.549 0.862 0.139
2 Br 0.077 0.369 0.796
3 Tb 0.331 0.324 0.017
4 Cs 0.564 0.880 0.661
5 Br 0.610 0.341 0.694
6 Br 0.660 0.245 0.197
7 Li 0.713 0.452 0.331
8 Br 0.151 0.771 0.907
9 Li 0.905 0.140 0.928
10 Br 0.100 0.279 0.344

## Properties
Space group: P1
Size of the total moment, μB per cell: 0.00

---

[15]
This record from Alexandria describes a relaxed structure of Cs3Li2TbBr8. The functional is PBE-GGA.

Cell: 7.903 7.903 10.238 Å, 90.00 90.00 120.00°
Positions (direct):
1 Br 0.667 0.333 0.016
2 Br 0.835 0.165 0.663
3 Br 0.165 0.835 0.337
4 Br 0.670 0.835 0.337
5 Cs 0.333 0.667 0.651
6 Cs 0.000 0.000 0.000
7 Tb 0.000 0.000 0.500
8 Br 0.333 0.667 0.984
9 Br 0.835 0.670 0.663
10 Li 0.333 0.667 0.215
11 Li 0.667 0.333 0.785
12 Br 0.165 0.330 0.337
13 Br 0.330 0.165 0.663
14 Cs 0.667 0.333 0.349

## Properties
Space group: P-3m1
Size of the total moment, μB per cell: 0.00

---

[16]
This record from Alexandria describes a relaxed structure of CsLi2TcBr8. The functional is PBE-GGA.

Cell: 6.870 6.154 11.665 Å, 55.39 90.37 94.16°
Each line ends with the local moment (μB).
Positions (direct):
1 Br 0.290 0.295 0.982  0.07
2 Br 0.837 0.997 0.196  0.04
3 Li 0.461 0.313 0.777  0.01
4 Br 0.512 0.262 0.492  0.00
5 Br 0.163 0.003 0.804  0.04
6 Cs 0.000 0.000 0.500  0.00
7 Br 0.822 0.398 0.820  0.03
8 Br 0.178 0.602 0.180  0.03
9 Br 0.488 0.738 0.508  0.00
10 Li 0.539 0.687 0.223  0.01
11 Br 0.710 0.705 0.018  0.07
12 Tc 0.000 0.000 0.000  2.31

## Properties
Space group: P-1
Size of the total moment, μB per cell: 3.01

---

[17]
This record from Alexandria describes a relaxed structure of Cs2LiTcBr6. The functional is PBE-GGA.

Cell: 7.740 7.740 13.502 Å, 73.34 73.34 60.00°
Each line ends with the local moment (μB).
Positions (direct):
1 Br 0.804 0.275 0.117  0.02
2 Br 0.725 0.196 0.883  0.02
3 Cs 0.876 0.876 0.373  0.00
4 Br 0.617 0.617 0.618  0.02
5 Cs 0.124 0.124 0.627  0.00
6 Br 0.383 0.852 0.382  0.02
7 Br 0.852 0.383 0.382  0.02
8 Br 0.196 0.196 0.883  0.02
9 Br 0.617 0.148 0.618  0.02
10 Li 0.580 0.580 0.260  0.00
11 Tc 0.000 0.000 0.000  1.71
12 Tc 0.500 0.500 0.500  1.53
13 Cs 0.706 0.706 0.882  0.00
14 Br 0.275 0.804 0.117  0.02
15 Br 0.383 0.383 0.382  0.02
16 Br 0.804 0.804 0.117  0.02
17 Li 0.420 0.420 0.740  0.00
18 Br 0.196 0.725 0.883  0.02
19 Cs 0.294 0.294 0.118  0.00
20 Br 0.148 0.617 0.618  0.02

## Properties
Space group: R-3m
Size of the total moment, μB per cell: 4.00

---

[18]
This record from Alexandria describes a relaxed structure of CsLi2TeBr. The functional is PBE-GGA.

Cell: 4.649 4.649 8.145 Å, 106.58 106.58 90.00°
Positions (direct):
1 Cs 0.510 0.510 0.020
2 Te 0.152 0.152 0.304
3 Br 0.845 0.845 0.689
4 Li 0.247 0.747 0.494
5 Li 0.747 0.247 0.494

## Properties
Space group: I4mm
Size of the total moment, μB per cell: 0.00

---

[19]
This record from Alexandria describes a relaxed structure of Cs2LiThBr6. The functional is PBE-GGA.

Cell: 8.061 8.063 11.393 Å, 90.00 90.00 90.00°
Each line ends with the local moment (μB).
Positions (direct):
1 Br 0.256 0.492 0.500  0.00
2 Li 0.000 0.752 0.000  0.00
3 Br 0.000 0.750 0.243  0.00
4 Br 0.500 0.250 0.257  0.00
5 Th 0.500 0.252 0.000  0.63
6 Br 0.743 0.005 0.500  0.00
7 Cs 0.500 0.750 0.250  0.00
8 Br 0.257 0.005 0.500  0.00
9 Br 0.000 0.750 0.757  0.00
10 Li 0.500 0.248 0.500  0.00
11 Br 0.757 0.995 0.000  0.00
12 Br 0.500 0.250 0.743  0.00
13 Cs 0.000 0.250 0.250  0.00
14 Br 0.756 0.508 0.000  0.00
15 Cs 0.500 0.750 0.750  0.00
16 Br 0.244 0.508 0.000  0.00
17 Br 0.243 0.995 0.000  0.00
18 Cs 0.000 0.250 0.750  0.00
19 Th 0.000 0.748 0.500  0.63
20 Br 0.744 0.492 0.500  0.00

## Properties
Space group: Pmmn
Size of the total moment, μB per cell: 2.04

---

| no. | raw formation energy (eV per atom) |
| --- | --- |
| 1 | -1.75 |
| 2 | -1.58 |
| 3 | -1.29 |
| 4 | -1.27 |
| 5 | -1.11 |
| 6 | -1.11 |
| 7 | -1.28 |
| 8 | -1.29 |
| 9 | -1.87 |
| 10 | -1.83 |
| 11 | -1.27 |
| 12 | -1.20 |
| 13 | -1.79 |
| 14 | -1.73 |
| 15 | -1.73 |
| 16 | -0.94 |
| 17 | -1.16 |
| 18 | -1.28 |
| 19 | -1.61 |